Record 1
! MnTl2Ru, optimized geometry, DFT GGA-PBE; values from VASP
&SYSTEM
  ibrav = 0, nat = 4, ntyp = 3
/
ATOMIC_SPECIES
Ru 101.07 Ru.upf
Tl 204.38 Tl.upf
Mn 54.94 Mn.upf
CELL_PARAMETERS angstrom
0.000 3.335 3.335
3.335 0.000 3.335
3.335 3.335 0.000
ATOMIC_POSITIONS crystal
Ru 0.500 0.500 0.500
Tl 0.250 0.250 0.250
Tl 0.750 0.750 0.750
Mn 0.000 0.000 0.000
! energy of formation = 0.55 eV per atom
! calculated total energy = -21.0 eV per formula unit
! SG = No. 225
! N(E_F) = 2.37 states/eV per cell

---

Record 2
! MnTlRu2, optimized geometry, DFT GGA-PBE; values from VASP
&SYSTEM
  ibrav = 0, nat = 4, ntyp = 3
/
ATOMIC_SPECIES
Mn 54.94 Mn.upf
Ru 101.07 Ru.upf
Tl 204.38 Tl.upf
CELL_PARAMETERS angstrom
2.908 0.000 0.000
0.000 3.853 0.000
0.000 0.000 5.726
ATOMIC_POSITIONS crystal
Mn 0.500 0.500 0.782
Ru 0.000 0.000 0.004
Ru 0.500 0.500 0.213
Tl 0.000 0.000 0.501
! energy of formation = 0.39 eV per atom
! calculated total energy = -28.5 eV per formula unit
! SG = No. 25
! N(E_F) = 3.51 states/eV per cell

---

Record 3
! MnTlRu2, optimized geometry, DFT GGA-PBE; values from VASP
&SYSTEM
  ibrav = 0, nat = 4, ntyp = 3
/
ATOMIC_SPECIES
Mn 54.94 Mn.upf
Ru 101.07 Ru.upf
Tl 204.38 Tl.upf
CELL_PARAMETERS angstrom
8.859 -0.075 -0.044
8.399 2.816 -0.044
8.399 1.334 2.480
ATOMIC_POSITIONS crystal
Mn 0.750 0.750 0.750
Ru 0.010 0.010 0.010
Ru 0.490 0.490 0.490
Tl 0.250 0.250 0.250
! energy of formation = 0.50 eV per atom
! calculated total energy = -28.1 eV per formula unit
! SG = No. 166
! N(E_F) = 4.65 states/eV per cell

---

Record 4
! Mn3TlRu, optimized geometry, DFT GGA-PBE; values from VASP
&SYSTEM
  ibrav = 0, nat = 5, ntyp = 3
/
ATOMIC_SPECIES
Ru 101.07 Ru.upf
Tl 204.38 Tl.upf
Mn 54.94 Mn.upf
CELL_PARAMETERS angstrom
-0.504 -4.218 -2.280
2.325 1.790 -3.825
4.193 -1.500 1.847
ATOMIC_POSITIONS crystal
Ru 0.000 0.000 0.000
Tl 0.500 0.500 0.500
Mn 0.000 0.500 0.000
Mn 0.000 0.000 0.500
Mn 0.500 0.000 0.000
! energy of formation = 0.98 eV per atom
! calculated total energy = -34.2 eV per formula unit
! SG = No. 221
! N(E_F) = 5.35 states/eV per cell

---

Record 5
! MnTl2Ru, optimized geometry, DFT GGA-PBE; values from VASP
&SYSTEM
  ibrav = 0, nat = 4, ntyp = 3
/
ATOMIC_SPECIES
Mn 54.94 Mn.upf
Ru 101.07 Ru.upf
Tl 204.38 Tl.upf
CELL_PARAMETERS angstrom
9.000 -0.003 -0.002
8.432 3.148 -0.002
8.432 1.521 2.756
ATOMIC_POSITIONS crystal
Mn 0.250 0.250 0.250
Ru 0.750 0.750 0.750
Tl 0.003 0.003 0.003
Tl 0.497 0.497 0.497
! energy of formation = 0.63 eV per atom
! calculated total energy = -20.7 eV per formula unit
! SG = No. 166
! N(E_F) = 3.84 states/eV per cell

---

Record 6
! MnTlRu2, optimized geometry, DFT GGA-PBE; values from VASP
&SYSTEM
  ibrav = 0, nat = 4, ntyp = 3
/
ATOMIC_SPECIES
Mn 54.94 Mn.upf
Ru 101.07 Ru.upf
Tl 204.38 Tl.upf
CELL_PARAMETERS angstrom
4.513 0.000 0.000
2.257 3.909 0.000
2.257 1.303 3.685
ATOMIC_POSITIONS crystal
Mn 0.500 0.500 0.500
Ru 0.000 0.000 0.000
Ru 0.250 0.250 0.250
Tl 0.750 0.750 0.750
! energy of formation = 0.58 eV per atom
! calculated total energy = -27.8 eV per formula unit
! SG = No. 216
! N(E_F) = 4.91 states/eV per cell

---

Record 7
! MnTl2Ru, optimized geometry, DFT GGA-PBE; values from VASP
&SYSTEM
  ibrav = 0, nat = 4, ntyp = 3
/
ATOMIC_SPECIES
Mn 54.94 Mn.upf
Ru 101.07 Ru.upf
Tl 204.38 Tl.upf
CELL_PARAMETERS angstrom
6.444 0.051 -0.067
3.992 5.059 0.067
-4.717 -3.578 2.546
ATOMIC_POSITIONS crystal
Mn 0.438 0.438 0.000
Ru 0.265 0.765 0.500
Tl 0.041 0.041 0.000
Tl 0.757 0.257 0.500
! energy of formation = 0.46 eV per atom
! calculated total energy = -21.3 eV per formula unit
! SG = No. 44
! N(E_F) = 2.70 states/eV per cell

---

Record 8
! MnTl3Ru, optimized geometry, DFT GGA-PBE; values from VASP
&SYSTEM
  ibrav = 0, nat = 5, ntyp = 3
/
ATOMIC_SPECIES
Ru 101.07 Ru.upf
Tl 204.38 Tl.upf
Mn 54.94 Mn.upf
CELL_PARAMETERS angstrom
5.279 0.000 0.000
0.000 5.279 0.000
0.000 0.000 5.279
ATOMIC_POSITIONS crystal
Ru 0.000 0.000 0.000
Tl 0.000 0.500 0.000
Tl 0.000 0.000 0.500
Tl 0.500 0.000 0.000
Mn 0.500 0.500 0.500
! energy of formation = 0.73 eV per atom
! calculated total energy = -21.9 eV per formula unit
! SG = No. 221
! N(E_F) = 3.43 states/eV per cell

---

Record 9
! MnTl2Ru, optimized geometry, DFT GGA-PBE; values from VASP
&SYSTEM
  ibrav = 0, nat = 4, ntyp = 3
/
ATOMIC_SPECIES
Mn 54.94 Mn.upf
Ru 101.07 Ru.upf
Tl 204.38 Tl.upf
CELL_PARAMETERS angstrom
-0.698 0.451 3.000
-1.402 -2.364 -1.461
6.861 -5.573 2.434
ATOMIC_POSITIONS crystal
Mn 0.500 0.500 0.250
Ru 0.500 0.500 0.750
Tl 0.000 0.000 0.995
Tl 0.000 0.000 0.505
! energy of formation = 0.69 eV per atom
! calculated total energy = -20.4 eV per formula unit
! SG = No. 65
! N(E_F) = 3.67 states/eV per cell

---

Record 10
! MnTlRu2, optimized geometry, DFT GGA-PBE; values from VASP
&SYSTEM
  ibrav = 0, nat = 4, ntyp = 3
/
ATOMIC_SPECIES
Mn 54.94 Mn.upf
Ru 101.07 Ru.upf
Tl 204.38 Tl.upf
CELL_PARAMETERS angstrom
-1.738 2.314 -0.084
-2.093 -1.615 -1.179
-2.719 -1.779 7.265
ATOMIC_POSITIONS crystal
Mn 0.500 0.500 0.783
Ru 0.000 0.000 0.012
Ru 0.500 0.500 0.215
Tl 0.000 0.000 0.489
! energy of formation = 0.38 eV per atom
! calculated total energy = -28.6 eV per formula unit
! SG = No. 99
! N(E_F) = 2.91 states/eV per cell

---

Record 11
! MnTlRu3, optimized geometry, DFT GGA-PBE; values from VASP
&SYSTEM
  ibrav = 0, nat = 5, ntyp = 3
/
ATOMIC_SPECIES
Ru 101.07 Ru.upf
Tl 204.38 Tl.upf
Mn 54.94 Mn.upf
CELL_PARAMETERS angstrom
4.463 0.000 0.000
0.000 4.463 0.000
0.000 0.000 4.463
ATOMIC_POSITIONS crystal
Ru 0.000 0.500 0.000
Ru 0.000 0.000 0.500
Ru 0.500 0.000 0.000
Tl 0.500 0.500 0.500
Mn 0.000 0.000 0.000
! energy of formation = 1.15 eV per atom
! calculated total energy = -33.6 eV per formula unit
! SG = No. 221
! N(E_F) = 11.02 states/eV per cell

---

Record 12
! MnTlRu2, optimized geometry, DFT GGA-PBE; values from VASP
&SYSTEM
  ibrav = 0, nat = 4, ntyp = 3
/
ATOMIC_SPECIES
Mn 54.94 Mn.upf
Ru 101.07 Ru.upf
Tl 204.38 Tl.upf
CELL_PARAMETERS angstrom
3.112 0.000 0.000
0.000 4.683 0.000
0.000 0.000 4.443
ATOMIC_POSITIONS crystal
Mn 0.000 0.500 0.500
Ru 0.000 0.000 0.000
Ru 0.500 0.500 0.000
Tl 0.500 0.000 0.500
! energy of formation = 0.59 eV per atom
! calculated total energy = -27.7 eV per formula unit
! SG = No. 47
! N(E_F) = 4.48 states/eV per cell

---

Copy entry 12 word for word.
! MnTlRu2, optimized geometry, DFT GGA-PBE; values from VASP
&SYSTEM
  ibrav = 0, nat = 4, ntyp = 3
/
ATOMIC_SPECIES
Mn 54.94 Mn.upf
Ru 101.07 Ru.upf
Tl 204.38 Tl.upf
CELL_PARAMETERS angstrom
3.112 0.000 0.000
0.000 4.683 0.000
0.000 0.000 4.443
ATOMIC_POSITIONS crystal
Mn 0.000 0.500 0.500
Ru 0.000 0.000 0.000
Ru 0.500 0.500 0.000
Tl 0.500 0.000 0.500
! energy of formation = 0.59 eV per atom
! calculated total energy = -27.7 eV per formula unit
! SG = No. 47
! N(E_F) = 4.48 states/eV per cell

---

- The lowest energy of formation belongs to which entry?
  number 10